Material: TbHo2Ru
Method: DFT, PBE
State: relaxed Values from VASP.

Output
E_form	-226	meV per atom
uncorrected energy	-5.991	eV/atom
space group	P4/mmm

Structure (Quantum ESPRESSO input):
```
&SYSTEM
  ibrav = 0, nat = 4, ntyp = 3
/
ATOMIC_SPECIES
Tb 158.93 Tb.upf
Ho 164.93 Ho.upf
Ru 101.07 Ru.upf
CELL_PARAMETERS angstrom
3.4180 0.0000 0.0000
0.0000 3.4180 0.0000
0.0000 0.0000 8.8888
ATOMIC_POSITIONS angstrom
Tb 0.0000 0.0000 0.0000
Ho 1.7090 1.7090 2.8063
Ho 1.7090 1.7090 6.0825
Ru 0.0000 0.0000 4.4444
```